Compound: CdAsCl2
Source: Alexandria
Functional: meta-GGA SCAN
Structure: PBEsol geometry

Cell lengths 4.7527, 4.2755, 10.7726 Å; angles 90.00, 90.00, 90.00 degrees
Closest atoms and distances in Å follow each position.
Space group Amm2 (No. 38)
Inequivalent atoms, fractional coordinates:
Cd 0.0000 0.0000 0.0000  2 Cl 2.56, 2 As 2.63
As 0.5000 0.0000 0.8954  2 Cl 2.38, 2 Cd 2.63
Cl 0.0000 0.0000 0.6315  2 Cd 2.56
Cl 0.5000 0.0000 0.2985  2 As 2.38

Computed properties:
Crystal system: orthorhombic
Formation energy (no corrections) (meV per atom): -461
Final energy (eV/atom): -17.1010
Excess energy over the best structure of this formula in the dataset (eV/atom): 0.000